(1)
# Mg2CoRu

Crystalline Mg2CoRu at its relaxed geometry (GGA-PBE, Alexandria).

Computed properties:
Density of states at the Fermi level (states/eV/f.u.): 4.29
Offset from the most stable computed form (meV per atom): 148

Lattice parameters (Å, degrees): 9.2148 9.2148 9.2148 17.72 17.72 17.72
Closest atoms and distances in Å follow each position.
Atoms (fractional coordinates):
Mg: 0.0000 0.0000 0.0000  3 Co 2.70, 6 Mg 2.84
Mg: 0.2311 0.2311 0.2311  3 Ru 2.78, 6 Mg 2.84
Co: 0.7457 0.7457 0.7457  3 Ru 2.50, 3 Mg 2.70
Ru: 0.4818 0.4818 0.4818  3 Co 2.50, 3 Mg 2.78

(2)
# Mg2CoRu

Crystalline Mg2CoRu at its relaxed geometry (GGA-PBE, Alexandria).

Computed properties:
Density of states at the Fermi level (states/eV/f.u.): 3.98
Offset from the most stable computed form (meV per atom): 129

Lattice parameters (Å, degrees): 5.0138 5.0138 2.6928 97.83 97.83 113.98
Closest atoms and distances in Å follow each position.
Atoms (fractional coordinates):
Mg: 0.0000 0.5000 0.0000  2 Co 2.68, 2 Ru 2.68, 4 Mg 2.69-2.73
Mg: 0.5000 0.0000 0.0000  2 Co 2.68, 2 Ru 2.68, 4 Mg 2.69-2.73
Co: 0.0000 0.0000 0.5000  4 Mg 2.68, 2 Co 2.69, 2 Ru 2.73
Ru: 0.5000 0.5000 0.5000  4 Mg 2.68, 2 Ru 2.69, 2 Co 2.73

(3)
# Mg2CoRu

Crystalline Mg2CoRu at its relaxed geometry (GGA-PBE, Alexandria).

Computed properties:
Density of states at the Fermi level (states/eV/f.u.): 3.82
Offset from the most stable computed form (meV per atom): 128

Lattice parameters (Å, degrees): 2.6986 4.2014 5.4450 90.00 104.17 90.00
Closest atoms and distances in Å follow each position.
Atoms (fractional coordinates):
Mg: 0.2217 0.0000 0.2519  2 Co 2.64, 4 Mg 2.70-2.75, 2 Ru 2.71
Mg: 0.7783 0.0000 0.7481  2 Co 2.64, 4 Mg 2.70-2.75, 2 Ru 2.71
Co: 0.0000 0.5000 0.5000  4 Mg 2.64, 2 Co 2.70, 2 Ru 2.73
Ru: 0.5000 0.5000 0.0000  2 Ru 2.70, 8 Mg 2.71-2.96, 2 Co 2.73

- Look up the density of states at the Fermi level of the third one.
  3.82 states/eV/f.u.